Model one:
Material: BaTaAl2
Method: DFT, meta-GGA SCAN
State: single point on PBEsol structure

Lattice parameters (Å, degrees): 3.045 3.990 7.427 90.00 90.00 90.00
Positions (direct):
Ta 0.500 0.500 0.500
Ba 0.500 0.500 0.000
Al 0.000 0.000 0.323
Al 0.000 0.000 0.677

***

Model two:
Material: BaTaAl2
Method: DFT, meta-GGA SCAN
State: single point on PBEsol structure

Lattice parameters (Å, degrees): 3.154 3.154 8.848 90.00 90.00 90.00
Positions (direct):
Ba 0.000 0.000 0.486
Al 0.000 0.000 0.005
Ta 0.500 0.500 0.821
Al 0.500 0.500 0.188

***

Relative energies in meV/atom: model one 0; model two 283

***

Model one:
Material: BaAl2Tc
Method: DFT, meta-GGA SCAN
State: single point on PBEsol structure

Lattice parameters (Å, degrees): 3.270 3.983 7.546 105.30 102.51 90.00
Positions (direct):
Tc 0.268 0.768 0.537
Ba 0.562 0.562 0.123
Al 0.902 0.902 0.805
Al 0.768 0.268 0.535

***

Model two:
Material: BaAl2Tc
Method: DFT, meta-GGA SCAN
State: single point on PBEsol structure

Lattice parameters (Å, degrees): 3.207 3.207 7.977 90.00 90.00 90.00
Positions (direct):
Al 0.000 0.000 0.336
Al 0.000 0.000 0.664
Tc 0.500 0.500 0.500
Ba 0.500 0.500 0.000

***

Model three:
Material: BaAl2Tc
Method: DFT, meta-GGA SCAN
State: single point on PBEsol structure

Lattice parameters (Å, degrees): 4.393 4.399 6.446 110.00 90.00 119.95
Positions (direct):
Al 0.989 0.977 0.966
Tc 0.316 0.632 0.949
Al 0.690 0.380 0.071
Ba 0.505 0.010 0.514

***

Relative energies in meV/atom: model one 169; model two 0; model three 109

***

Model one:
Material: BaAl2Tl
Method: DFT, meta-GGA SCAN
State: single point on PBEsol structure

Lattice parameters (Å, degrees): 3.668 3.668 7.736 90.00 90.00 90.00
Positions (direct):
Al 0.000 0.000 0.026
Tl 0.500 0.500 0.806
Al 0.500 0.500 0.181
Ba 0.000 0.000 0.487

***

Model two:
Material: BaAl2Tl
Method: DFT, meta-GGA SCAN
State: single point on PBEsol structure

Lattice parameters (Å, degrees): 5.179 5.179 10.301 104.56 104.56 90.00
Positions (direct):
Al 0.125 0.875 0.750
Tl 0.000 0.000 0.000
Al 0.125 0.375 0.250
Ba 0.750 0.250 0.500
Ba 0.500 0.500 0.000
Al 0.625 0.875 0.750
Al 0.125 0.875 0.250
Tl 0.250 0.750 0.500

***

Relative energies in meV/atom: model one 0; model two 14

***

Model one:
Material: BeAl2Br
Method: DFT, meta-GGA SCAN
State: single point on PBEsol structure

Lattice parameters (Å, degrees): 3.635 4.563 4.620 90.00 102.41 90.00
Positions (direct):
Al 0.670 0.000 0.782
Al 0.330 0.000 0.218
Br 0.000 0.500 0.500
Be 0.500 0.500 0.000

***

Model two:
Material: BeAl2Br
Method: DFT, meta-GGA SCAN
State: single point on PBEsol structure

Lattice parameters (Å, degrees): 3.534 3.534 6.910 75.19 75.19 60.00
Positions (direct):
Al 0.225 0.225 0.324
Be 0.500 0.500 0.500
Al 0.775 0.775 0.676
Br 0.000 0.000 0.000

***

Relative energies in meV/atom: model one 261; model two 0

***

Model one:
Material: Be2AlBr
Method: DFT, meta-GGA SCAN
State: single point on PBEsol structure

Lattice parameters (Å, degrees): 3.137 3.188 7.406 90.00 90.00 119.47
Positions (direct):
Be 0.000 0.000 0.750
Al 0.500 0.000 0.000
Be 0.000 0.000 0.250
Br 0.500 0.000 0.500

***

Model two:
Material: Be2AlBr
Method: DFT, meta-GGA SCAN
State: single point on PBEsol structure

Lattice parameters (Å, degrees): 2.987 2.987 6.697 90.00 90.00 90.00
Positions (direct):
Be 0.000 0.000 0.270
Br 0.500 0.500 0.000
Al 0.500 0.500 0.500
Be 0.000 0.000 0.730

***

Model three:
Material: Be2AlBr
Method: DFT, meta-GGA SCAN
State: single point on PBEsol structure

Lattice parameters (Å, degrees): 4.056 4.036 5.479 73.63 68.27 59.84
Positions (direct):
Br 0.500 0.500 0.500
Be 0.813 0.331 0.042
Be 0.187 0.669 0.958
Al 0.500 0.000 0.000

***

Model four:
Material: Be2AlBr
Method: DFT, meta-GGA SCAN
State: single point on PBEsol structure

Lattice parameters (Å, degrees): 3.001 3.990 5.371 90.00 90.00 90.00
Positions (direct):
Br 0.500 0.500 0.000
Al 0.000 0.500 0.500
Be 0.500 0.000 0.500
Be 0.000 0.000 0.000

***

Relative energies in meV/atom: model one 539; model two 602; model three 0; model four 779

***

Model one:
Material: BeAlCl
Method: DFT, meta-GGA SCAN
State: single point on PBEsol structure

Lattice parameters (Å, degrees): 3.047 3.047 5.399 106.39 106.39 90.00
Positions (direct):
Cl 0.312 0.312 0.625
Al 0.032 0.032 0.064
Be 0.656 0.656 0.312

***

Model two:
Material: BeAlCl
Method: DFT, meta-GGA SCAN
State: single point on PBEsol structure

Lattice parameters (Å, degrees): 4.691 4.691 4.691 60.00 60.00 60.00
Positions (direct):
Cl 0.750 0.750 0.750
Al 0.000 0.000 0.000
Be 0.500 0.500 0.500

***

Relative energies in meV/atom: model one 0; model two 930

***

Model one:
Material: Na4BeAlSi4ClO12
Method: DFT, meta-GGA SCAN
State: single point on PBEsol structure

Lattice parameters (Å, degrees): 7.649 7.649 12.464 90.06 90.06 110.01
Positions (direct):
Si 0.013 0.000 0.252
O 0.598 0.798 0.509
Be 0.127 0.371 0.121
O 0.067 0.565 0.845
Si 0.000 0.013 0.752
Be 0.371 0.127 0.621
Al 0.879 0.637 0.877
Na 0.030 0.136 0.514
O 0.692 0.507 0.797
O 0.021 0.185 0.191
Na 0.628 0.485 0.500
Na 0.136 0.030 0.014
O 0.350 0.447 0.145
O 0.313 0.095 0.495
Na 0.656 0.182 0.813
Na 0.485 0.628 0.000
O 0.433 0.343 0.343
O 0.507 0.692 0.297
Na 0.716 0.186 0.175
Si 0.490 0.494 0.244
Al 0.637 0.879 0.377
O 0.038 0.528 0.154
Si 0.383 0.121 0.374
Na 0.182 0.656 0.313
Si 0.121 0.383 0.874
O 0.528 0.038 0.654
Si 0.876 0.610 0.130
O 0.343 0.433 0.843
Cl 0.497 0.999 0.001
O 0.956 0.877 0.856
O 0.697 0.492 0.206
O 0.492 0.697 0.706
O 0.565 0.067 0.345
Si 0.610 0.876 0.630
O 0.945 0.831 0.163
O 0.447 0.350 0.645
O 0.831 0.945 0.663
O 0.798 0.598 0.009
O 0.877 0.956 0.356
O 0.993 0.216 0.793
Si 0.494 0.490 0.744
Cl 0.999 0.497 0.501
O 0.185 0.021 0.691
O 0.095 0.313 0.995
O 0.216 0.993 0.293
Na 0.186 0.716 0.675

***

Model two:
Material: Na4BeAlSi4ClO12
Method: DFT, meta-GGA SCAN
State: single point on PBEsol structure

Lattice parameters (Å, degrees): 7.566 7.566 7.566 107.88 110.27 110.27
Positions (direct):
O 0.983 0.409 0.693
Cl 0.000 0.000 0.000
O 0.388 0.689 0.997
O 0.308 0.699 0.311
Na 0.043 0.665 0.016
O 0.284 0.573 0.591
Si 0.760 0.518 0.250
O 0.431 0.990 0.717
O 0.726 0.441 0.010
Si 0.267 0.750 0.509
O 0.017 0.711 0.427
O 0.716 0.307 0.289
Na 0.650 0.984 0.028
Na 0.957 0.972 0.622
O 0.612 0.609 0.301
Na 0.350 0.378 0.335
Si 0.733 0.242 0.482
Al 0.500 0.250 0.750
O 0.569 0.286 0.559
Be 0.500 0.750 0.250
Si 0.240 0.491 0.758
O 0.692 0.003 0.391
O 0.274 0.283 0.714

***

Relative energies in meV/atom: model one 53; model two 0

***

Model one:
Material: Be2AlCo2
Method: DFT, meta-GGA SCAN
State: single point on PBEsol structure

Lattice parameters (Å, degrees): 2.628 5.994 5.994 90.00 90.00 90.00
Positions (direct):
Co 0.500 0.172 0.672
Be 0.000 0.621 0.121
Co 0.500 0.828 0.328
Co 0.500 0.328 0.172
Al 0.000 0.000 0.000
Al 0.000 0.500 0.500
Be 0.000 0.121 0.379
Be 0.000 0.379 0.879
Co 0.500 0.672 0.828
Be 0.000 0.879 0.621

***

Model two:
Material: Be2AlCo2
Method: DFT, meta-GGA SCAN
State: single point on PBEsol structure

Lattice parameters (Å, degrees): 2.682 6.087 6.087 90.00 90.00 90.00
Positions (direct):
Al 0.000 0.500 0.500
Be 0.500 0.858 0.358
Be 0.500 0.142 0.642
Co 0.000 0.649 0.149
Co 0.000 0.851 0.649
Co 0.000 0.351 0.851
Be 0.500 0.642 0.858
Be 0.500 0.358 0.142
Co 0.000 0.149 0.351
Al 0.000 0.000 0.000

***

Relative energies in meV/atom: model one 0; model two 191

***

Model one:
Material: Be2AlH
Method: DFT, meta-GGA SCAN
State: single point on PBEsol structure

Lattice parameters (Å, degrees): 4.152 4.152 5.490 112.22 112.22 90.00
Positions (direct):
Be 0.625 0.875 0.250
H 0.750 0.250 0.500
Be 0.125 0.375 0.750
Be 0.625 0.375 0.250
Al 0.250 0.750 0.500
Al 0.000 0.000 0.000
Be 0.625 0.375 0.750
H 0.500 0.500 0.000

***

Model two:
Material: Be2AlH
Method: DFT, meta-GGA SCAN
State: single point on PBEsol structure

Lattice parameters (Å, degrees): 3.861 3.861 3.861 60.00 60.00 60.00
Positions (direct):
H 0.000 0.000 0.000
Be 0.750 0.750 0.750
Be 0.250 0.250 0.250
Al 0.500 0.500 0.500

***

Relative energies in meV/atom: model one 0; model two 501

***

Model one:
Material: Be2AlIn
Method: DFT, meta-GGA SCAN
State: single point on PBEsol structure

Lattice parameters (Å, degrees): 2.786 2.786 7.555 90.00 90.00 90.00
Positions (direct):
Be 0.500 0.500 0.191
In 0.000 0.000 0.465
Be 0.000 0.000 0.034
Al 0.500 0.500 0.810

***

Model two:
Material: Be2AlIn
Method: DFT, meta-GGA SCAN
State: single point on PBEsol structure

Lattice parameters (Å, degrees): 2.844 4.611 4.611 106.69 90.00 90.00
Positions (direct):
Be 0.000 0.500 0.000
In 0.500 0.000 0.000
Al 0.500 0.500 0.500
Be 0.000 0.000 0.500

***

Model three:
Material: Be2AlIn
Method: DFT, meta-GGA SCAN
State: single point on PBEsol structure

Lattice parameters (Å, degrees): 4.353 4.353 4.353 60.00 60.00 60.00
Positions (direct):
In 0.500 0.500 0.500
Be 0.250 0.250 0.250
Be 0.750 0.750 0.750
Al 0.000 0.000 0.000

***

Model four:
Material: Be2AlIn
Method: DFT, meta-GGA SCAN
State: single point on PBEsol structure

Lattice parameters (Å, degrees): 3.931 3.931 4.668 114.90 114.90 90.00
Positions (direct):
In 0.000 0.000 0.000
Be 0.750 0.250 0.500
Al 0.500 0.500 0.000
Be 0.250 0.750 0.500

***

Relative energies in meV/atom: model one 0; model two 87; model three 124; model four 80